Entry 1:
The following is a DFT calculation (SCAN) of a crystal of CaRe2Ir relaxed with PBEsol.

CIF file:
```
data_CaRe2Ir
_symmetry_space_group_name_H-M 'I m m m'
_symmetry_Int_Tables_number 71
_symmetry_space_group_name_Hall '-I 2 2'
_cell_length_a 2.756
_cell_length_b 4.602
_cell_length_c 10.623
_cell_angle_alpha 90.00
_cell_angle_beta 90.00
_cell_angle_gamma 90.00
loop_
_atom_site_label
_atom_site_type_symbol
_atom_site_fract_x
_atom_site_fract_y
_atom_site_fract_z
Ca1 Ca 0.000 0.000 0.000
Re1 Re 0.000 0.500 0.213
Ir1 Ir 0.000 0.000 0.500
```

Magnetization (Bohr magnetons per cell): 0.000
Raw total energy (eV/f.u.): -222.20
Relative energy among the computed polymorphs (meV/atom): 0.0


Entry 2:
The following is a DFT calculation (SCAN) of a crystal of Nb3CoP relaxed with PBEsol.

CIF file:
```
data_Nb3CoP
_symmetry_space_group_name_H-M 'P m -3 m'
_symmetry_Int_Tables_number 221
_symmetry_space_group_name_Hall '-P 4 2 3'
_cell_length_a 4.507
_cell_length_b 4.507
_cell_length_c 4.507
_cell_angle_alpha 90.00
_cell_angle_beta 90.00
_cell_angle_gamma 90.00
loop_
_atom_site_label
_atom_site_type_symbol
_atom_site_fract_x
_atom_site_fract_y
_atom_site_fract_z
Nb1 Nb 0.000 0.000 0.500
Co1 Co 0.000 0.000 0.000
P1 P 0.500 0.500 0.500
```

Magnetization (Bohr magnetons per cell): 0.000
Raw total energy (eV/f.u.): -123.38